# TmZrCoPt

Crystalline TmZrCoPt at its relaxed geometry (PBE, Alexandria via LeMat-Bulk).

```
data_TmZrCoPt
_space_group_name_H-M_alt 'F -4 3 m'
_space_group_IT_number 216
_space_group_name_Hall 'F -4 2 3'
_cell_length_a 6.6677
_cell_length_b 6.6677
_cell_length_c 6.6677
_cell_angle_alpha 90.00
_cell_angle_beta 90.00
_cell_angle_gamma 90.00
loop_
_atom_site_label
_atom_site_type_symbol
_atom_site_fract_x
_atom_site_fract_y
_atom_site_fract_z
_atom_site_occupancy
Tm1 Tm 0.0000 0.0000 0.0000 1
Zr1 Zr 0.0000 0.0000 0.5000 1
Co1 Co 0.2500 0.2500 0.7500 1
Pt1 Pt 0.2500 0.2500 0.2500 1
```

Summary:
- Theoretical density: 11.521 Mg/m³
- Energy relative to the elements: -0.639 eV per atom
- Density of states at the Fermi level: 0.81 states/eV per atom
- E_tot: -7.180 eV/atom